## BaSiBr (GGA-PBEsol)

Data for crystalline BaSiBr at its relaxed geometry.

Cell: 5.209 5.209 5.209 Å, 60.00 60.00 60.00°
Fractional positions:
Ba 0.500 0.500 0.500
Br 0.750 0.750 0.750
Si 0.000 0.000 0.000

## Properties
Volume = 33.31 Å³/atom
DOS(E_F) = 3.77 states/eV/f.u.
Space group = F-43m (216)
E_form (uncorrected) = -53 kJ/mol of formula units

## BaSrBr (GGA-PBEsol)

Data for crystalline BaSrBr at its relaxed geometry.

Cell: 4.115 4.115 8.578 Å, 97.92 97.92 115.19°
Fractional positions:
Ba 0.018 0.018 0.036
Br 0.672 0.672 0.344
Sr 0.310 0.310 0.619

## Properties
Volume = 42.34 Å³/atom
DOS(E_F) = 3.48 states/eV/f.u.
Space group = Fmm2 (42)
E_form (uncorrected) = -272 kJ/mol of formula units

## Ba2SrWBr (GGA-PBEsol)

Data for crystalline Ba2SrWBr at its relaxed geometry.

Cell: 4.934 6.481 6.481 Å, 90.00 90.00 90.00°
Fractional positions:
Br 0.500 0.500 0.500
Ba 0.000 0.500 0.000
Ba 0.000 0.000 0.500
Sr 0.000 0.000 0.000
W 0.500 0.000 0.000

## Properties
Volume = 41.45 Å³/atom
DOS(E_F) = 5.32 states/eV/f.u.
Space group = P4/mmm (123)
E_form (uncorrected) = 587 kJ/mol of formula units

## Ba2TaTlBr (GGA-PBEsol)

Data for crystalline Ba2TaTlBr at its relaxed geometry.

Cell: 4.794 6.113 6.113 Å, 90.00 90.00 90.00°
Fractional positions:
Ta 0.500 0.000 0.000
Ba 0.000 0.000 0.500
Br 0.000 0.000 0.000
Ba 0.000 0.500 0.000
Tl 0.500 0.500 0.500

## Properties
Volume = 35.82 Å³/atom
DOS(E_F) = 3.97 states/eV/f.u.
Space group = P4/mmm (123)
E_form (uncorrected) = 117 kJ/mol of formula units

## Ba3TcBr (GGA-PBEsol)

Data for crystalline Ba3TcBr at its relaxed geometry.

Cell: 6.059 6.059 6.059 Å, 90.00 90.00 90.00°
Fractional positions:
Ba 0.500 0.000 0.000
Br 0.000 0.000 0.000
Ba 0.000 0.000 0.500
Tc 0.500 0.500 0.500
Ba 0.000 0.500 0.000

## Properties
Volume = 44.49 Å³/atom
DOS(E_F) = 7.14 states/eV/f.u.
Space group = Pm-3m (221)
E_form (uncorrected) = 220 kJ/mol of formula units

## BaTcBr (GGA-PBEsol)

Data for crystalline BaTcBr at its relaxed geometry.

Cell: 3.673 3.673 6.940 Å, 90.00 90.00 120.00°
Fractional positions:
Ba 0.000 0.000 0.008
Tc 0.667 0.333 0.367
Br 0.333 0.667 0.625

## Properties
Volume = 27.03 Å³/atom
DOS(E_F) = 3.00 states/eV/f.u.
Space group = P3m1 (156)
E_form (uncorrected) = 189 kJ/mol of formula units